{"formula": "SiNiS", "functional": "GGA-PBE", "state": "optimized geometry", "lattice_angstrom": [[-0.654, 3.260, -1.063], [-1.047, -1.177, -2.967], [-7.458, -0.566, 2.857]], "species": ["S", "S", "Ni", "Ni", "Si", "Si"], "frac_coords": [[0.000, 0.500, 0.904], [0.000, 0.000, 0.404], [0.500, 0.000, 0.924], [0.500, 0.500, 0.424], [0.500, 0.000, 0.211], [0.500, 0.500, 0.711]], "e_tot_ev_per_atom": -5.1483, "e_form_raw_ev_per_atom": -0.04, "m_tot_mub_per_fu": 0.00, "sg": "No. 38"}